{
  "formula": "Mn2GaGe",
  "functional": "PBEsol",
  "state": "optimized geometry",
  "lattice": [[-1.529, 0.061, 2.229], [1.178, -2.272, 0.871], [5.155, 4.958, 1.761]],
  "species": ["Ge", "Mn", "Mn", "Ga"],
  "frac_coords": [[0.133, 0.133, 0.266], [0.519, 0.519, 0.039], [0.925, 0.925, 0.850], [0.308, 0.308, 0.617]],
  "energy_ev_per_cell": -28.4,
  "m_tot_mub_per_cell": 0.20
}

{
  "formula": "Sc2Mn12GaGe11",
  "functional": "PBEsol",
  "state": "optimized geometry",
  "lattice": [[5.030, 0.000, 0.000], [-2.515, 4.356, 0.000], [0.000, 0.000, 16.009]],
  "species": ["Mn", "Mn", "Mn", "Mn", "Mn", "Mn", "Mn", "Mn", "Mn", "Mn", "Mn", "Mn", "Sc", "Sc", "Ge", "Ge", "Ge", "Ge", "Ge", "Ge", "Ge", "Ge", "Ge", "Ge", "Ge", "Ga"],
  "frac_coords": [[0.833, 0.667, 0.875], [0.833, 0.167, 0.125], [0.833, 0.167, 0.627], [0.833, 0.666, 0.373], [0.833, 0.666, 0.627], [0.833, 0.167, 0.875], [0.334, 0.167, 0.627], [0.333, 0.167, 0.875], [0.833, 0.667, 0.125], [0.833, 0.167, 0.373], [0.334, 0.167, 0.373], [0.333, 0.167, 0.125], [0.333, 0.667, 0.250], [0.333, 0.667, 0.750], [0.333, 0.667, 0.580], [0.333, 0.667, 0.420], [0.667, 0.333, 0.249], [0.333, 0.667, 0.081], [0.000, 0.000, 0.751], [0.667, 0.333, 0.751], [0.000, 0.000, 0.000], [0.333, 0.667, 0.919], [0.667, 0.333, 0.500], [0.667, 0.333, 0.000], [0.000, 0.000, 0.249], [0.000, 0.000, 0.500]],
  "energy_ev_per_cell": -196.7,
  "m_tot_mub_per_cell": 21.68
}

| no. | theoretical density (g cm⁻³) |
| --- | --- |
| 1 | 8.1 |
| 2 | 7.7 |